Density functional theory data (GGA-PBE) for an optimized crystal structure of AcLa2Pm2Dy.

Computed properties:
Calculated volume in A^3/atom: 36.35
Magnetic moment in μB/f.u.: 0.00
Energy of formation from the pure elements in eV per atom: 0.05
Uncorrected energy in eV per formula unit: -27.8

Unit cell a=7.329 b=5.856 c=10.165 alpha=90.00 beta=90.00 gamma=90.00
Space group Pmma (No. 51)
Asymmetric unit:
Ac 0.000 0.000 0.000 [2 per cell]
La 0.000 0.500 0.500 [2 per cell]
La 0.250 0.000 0.335 [2 per cell]
Pm 0.250 0.000 0.665 [2 per cell]
Pm 0.250 0.500 0.170 [2 per cell]
Dy 0.250 0.500 0.833 [2 per cell]